(1)
## LaNiRh2 (SCAN)

Data for a PBEsol-optimized structure of LaNiRh2.

crystal system	tetragonal
total moment	0.00	μB per cell
distance to the lowest polymorph of the same formula	0.87	eV per formula unit
formation energy	-0.029	eV/atom
mass density	10.0	g/cm³

Cell and atoms, written as POSCAR:
```
LaNiRh2
1.0
-1.794 -0.173 2.811
0.308 -3.325 -0.008
5.016 0.457 3.229
La Ni Rh
1 1 2
Direct
0.000 0.000 0.503
0.500 0.500 0.810
0.000 0.000 0.969
0.500 0.500 0.218
```

=====

(2)
## YCd2Au (SCAN)

Data for a PBEsol-optimized structure of YCd2Au.

crystal system	orthorhombic
total moment	0.00	μB per cell
formation energy	-0.544	eV/atom
mass density	9.5	g/cm³

Cell and atoms, written as POSCAR:
```
YCd2Au
1.0
3.567 0.000 -0.032
0.000 4.075 0.000
-1.728 0.000 6.184
Y Au Cd
1 1 2
Direct
0.083 0.000 0.540
0.669 0.500 0.714
0.824 0.000 0.022
0.425 0.500 0.224
```

=====

(3)
## Zr2MoP2O12 (SCAN)

Data for a PBEsol-optimized structure of Zr2MoP2O12.

crystal system	orthorhombic
total moment	0.00	μB per cell
mass density	3.3	g/cm³
energy relative to the elements, uncorrected	-2.910	eV/atom

Cell and atoms, written as POSCAR:
```
Zr2MoP2O12
1.0
9.224 0.000 0.000
0.000 9.382 0.000
0.000 0.000 12.457
Zr Mo P O
8 4 8 48
Direct
0.227 0.454 0.629
0.273 0.546 0.129
0.773 0.954 0.629
0.273 0.954 0.871
0.727 0.046 0.129
0.727 0.454 0.871
0.773 0.546 0.371
0.227 0.046 0.371
0.037 0.250 0.000
0.963 0.750 0.000
0.537 0.250 0.500
0.463 0.750 0.500
0.882 0.605 0.643
0.882 0.895 0.357
0.618 0.105 0.857
0.618 0.395 0.143
0.118 0.395 0.357
0.118 0.105 0.643
0.382 0.895 0.143
0.382 0.605 0.857
0.642 0.237 0.173
0.642 0.263 0.827
0.858 0.737 0.327
0.858 0.763 0.673
0.358 0.763 0.827
0.358 0.737 0.173
0.142 0.263 0.673
0.142 0.237 0.327
0.674 0.078 0.971
0.674 0.422 0.029
0.826 0.578 0.529
0.826 0.922 0.471
0.326 0.922 0.029
0.326 0.578 0.971
0.174 0.422 0.471
0.174 0.078 0.529
0.074 0.841 0.908
0.926 0.159 0.092
0.574 0.659 0.408
0.574 0.841 0.592
0.045 0.929 0.351
0.045 0.571 0.649
0.455 0.429 0.149
0.455 0.071 0.851
0.955 0.071 0.649
0.955 0.429 0.351
0.545 0.571 0.851
0.545 0.929 0.149
0.352 0.871 0.430
0.352 0.629 0.570
0.148 0.371 0.070
0.148 0.129 0.930
0.648 0.129 0.570
0.648 0.371 0.430
0.852 0.629 0.930
0.852 0.871 0.070
0.301 0.991 0.223
0.301 0.509 0.777
0.199 0.491 0.277
0.199 0.009 0.723
0.699 0.009 0.777
0.699 0.491 0.223
0.801 0.509 0.723
0.801 0.991 0.277
0.426 0.159 0.408
0.426 0.341 0.592
0.074 0.659 0.092
0.926 0.341 0.908
```

=====

(4)
## MgSc2Cu (SCAN)

Data for a PBEsol-optimized structure of MgSc2Cu.

crystal system	orthorhombic
total moment	0.36	μB per cell
formation energy	-0.102	eV/atom
mass density	3.8	g/cm³

Cell and atoms, written as POSCAR:
```
MgSc2Cu
1.0
-2.513 -1.928 0.622
1.567 -3.125 -3.353
3.159 0.146 4.839
Sc Mg Cu
2 1 1
Direct
0.997 0.997 0.994
0.790 0.290 0.581
0.210 0.710 0.420
0.502 0.502 0.004
```

=====

(5)
## Tm2GeO5 (SCAN)

Data for a PBEsol-optimized structure of Tm2GeO5.

crystal system	monoclinic
total moment	0.00	μB per cell
distance to the lowest polymorph of the same formula	0.70	eV per formula unit
mass density	8.6	g/cm³
energy relative to the elements, uncorrected	-3.161	eV/atom

Cell and atoms, written as POSCAR:
```
Tm2GeO5
1.0
5.099 0.000 0.000
-2.549 5.642 0.171
0.000 -2.761 6.517
Tm Ge O
4 2 10
Direct
0.300 0.689 0.696
0.390 0.689 0.196
0.610 0.311 0.804
0.700 0.311 0.304
0.000 0.000 0.000
0.000 0.000 0.500
0.618 0.806 0.509
0.187 0.806 0.009
0.631 0.680 0.886
0.952 0.320 0.614
0.048 0.680 0.386
0.369 0.320 0.114
0.813 0.194 0.991
0.150 0.000 0.750
0.382 0.194 0.491
0.850 0.000 0.250
```

=====

(6)
## GeSb2TeN (SCAN)

Data for a PBEsol-optimized structure of GeSb2TeN.

crystal system	tetragonal
total moment	0.00	μB per cell
distance to the lowest polymorph of the same formula	0.00	eV per formula unit
mass density	7.3	g/cm³
energy relative to the elements, uncorrected	0.753	eV/atom

Cell and atoms, written as POSCAR:
```
GeSb2TeN
1.0
4.596 0.000 0.000
0.000 4.772 0.000
0.000 0.000 4.772
Sb Ge Te N
2 1 1 1
Direct
0.000 0.000 0.500
0.000 0.500 0.000
0.500 0.500 0.500
0.500 0.000 0.000
0.000 0.000 0.000
```

=====

(7)
## WS3F (SCAN)

Data for a PBEsol-optimized structure of WS3F.

crystal system	cubic
total moment	0.35	μB per cell
mass density	5.2	g/cm³
energy relative to the elements, uncorrected	-0.043	eV/atom

Cell and atoms, written as POSCAR:
```
WS3F
1.0
4.575 0.000 0.000
0.000 4.575 0.000
0.000 0.000 4.575
S W F
3 1 1
Direct
0.000 0.500 0.000
0.000 0.000 0.500
0.500 0.000 0.000
0.000 0.000 0.000
0.500 0.500 0.500
```

=====

(8)
## Li3Fe2CoO6 (SCAN)

Data for a PBEsol-optimized structure of Li3Fe2CoO6.

total moment	0.00	μB per cell
mass density	5.0	g/cm³
energy relative to the elements, uncorrected	-1.887	eV/atom

Cell and atoms, written as POSCAR:
```
Li3Fe2CoO6
1.0
4.878 -0.023 -0.012
-2.431 4.229 -0.012
-0.792 -1.361 9.257
Co Fe O Li
2 4 12 6
Direct
0.000 0.000 0.000
0.500 0.500 0.500
0.833 0.167 0.500
0.333 0.667 0.000
0.167 0.833 0.500
0.667 0.333 0.000
0.869 0.869 0.610
0.369 0.369 0.110
0.131 0.131 0.390
0.631 0.631 0.890
0.205 0.537 0.610
0.705 0.037 0.110
0.537 0.205 0.610
0.037 0.705 0.110
0.795 0.463 0.390
0.295 0.963 0.890
0.463 0.795 0.390
0.963 0.295 0.890
0.250 0.250 0.750
0.750 0.750 0.250
0.915 0.585 0.750
0.415 0.085 0.250
0.085 0.415 0.250
0.585 0.915 0.750
```

=====

(9)
## Sc3PdAu (SCAN)

Data for a PBEsol-optimized structure of Sc3PdAu.

crystal system	cubic
total moment	0.93	μB per cell
formation energy	-0.205	eV/atom
mass density	6.1	g/cm³

Cell and atoms, written as POSCAR:
```
Sc3PdAu
1.0
-3.206 -3.736 -0.163
0.507 -0.222 -4.895
3.705 -3.203 0.529
Sc Au Pd
3 1 1
Direct
0.000 0.500 0.000
0.000 0.000 0.500
0.500 0.000 0.000
0.500 0.500 0.500
0.000 0.000 0.000
```

=====

(10)
## GeHF2 (SCAN)

Data for a PBEsol-optimized structure of GeHF2.

crystal system	trigonal
total moment	0.00	μB per cell
distance to the lowest polymorph of the same formula	0.00	eV per formula unit
mass density	4.2	g/cm³

Cell and atoms, written as POSCAR:
```
GeHF2
1.0
2.898 0.000 0.000
1.449 2.510 0.000
1.449 0.837 6.058
H Ge F
1 1 2
Direct
0.000 0.000 0.000
0.500 0.500 0.500
0.937 0.937 0.189
0.063 0.063 0.811
```

=====

(11)
## HgAu2Br (SCAN)

Data for a PBEsol-optimized structure of HgAu2Br.

crystal system	orthorhombic
total moment	0.00	μB per cell
distance to the lowest polymorph of the same formula	0.00	eV per formula unit
mass density	12.7	g/cm³
energy relative to the elements, uncorrected	0.102	eV/atom

Cell and atoms, written as POSCAR:
```
HgAu2Br
1.0
-2.891 1.210 1.966
-1.700 -3.010 -0.647
2.674 -2.715 5.603
Au Hg Br
2 1 1
Direct
0.000 0.000 0.802
0.000 0.000 0.198
0.500 0.500 0.000
0.500 0.000 0.500
```

=====

(12)
## NaAlBP2H3O10 (SCAN)

Data for a PBEsol-optimized structure of NaAlBP2H3O10.

crystal system	monoclinic
total moment	0.00	μB per cell
E_tot	-8.60	eV/atom
mass density	2.8	g/cm³

Cell and atoms, written as POSCAR:
```
NaAlBP2H3O10
1.0
-0.487 3.744 -5.350
2.905 -3.448 -4.749
-6.096 -3.354 -5.738
Na Al B P H O
2 2 2 4 6 20
Direct
0.135 0.865 0.750
0.865 0.135 0.250
0.500 0.000 0.000
0.000 0.500 0.500
0.534 0.466 0.750
0.466 0.534 0.250
0.710 0.842 0.681
0.158 0.290 0.819
0.290 0.158 0.319
0.842 0.710 0.181
0.000 0.500 0.000
0.500 0.000 0.500
0.680 0.307 0.568
0.693 0.320 0.932
0.307 0.680 0.068
0.320 0.693 0.432
0.042 0.635 0.045
0.365 0.958 0.455
0.430 0.703 0.098
0.297 0.570 0.402
0.570 0.297 0.902
0.703 0.430 0.598
0.529 0.687 0.757
0.313 0.471 0.743
0.471 0.313 0.243
0.687 0.529 0.257
0.725 0.919 0.817
0.081 0.275 0.683
0.275 0.081 0.183
0.919 0.725 0.317
0.934 0.714 0.609
0.286 0.066 0.891
0.066 0.286 0.391
0.714 0.934 0.109
0.635 0.042 0.545
0.958 0.365 0.955
```

=====

(13)
## Fe8Cu (SCAN)

Data for a PBEsol-optimized structure of Fe8Cu.

crystal system	tetragonal
total moment	20.83	μB per cell
formation energy	0.017	eV/atom
mass density	8.6	g/cm³

Cell and atoms, written as POSCAR:
```
Fe8Cu
1.0
-0.400 1.696 2.240
-5.900 -0.677 1.255
1.084 -3.632 4.741
Cu Fe
1 8
Direct
0.000 0.000 0.000
0.667 0.333 0.333
0.333 0.667 0.667
0.000 0.667 0.333
0.668 0.000 0.664
0.332 0.336 0.000
0.000 0.333 0.667
0.668 0.664 0.000
0.332 0.000 0.336
```

=====

(14)
## CdRh3 (SCAN)

Data for a PBEsol-optimized structure of CdRh3.

crystal system	monoclinic
total moment	0.00	μB per cell
formation energy	0.022	eV/atom
mass density	12.0	g/cm³

Cell and atoms, written as POSCAR:
```
CdRh3
1.0
-1.665 -1.683 1.392
1.799 -2.501 -3.583
3.424 -0.683 3.271
Rh Cd
3 1
Direct
0.757 0.515 0.268
0.500 0.000 0.500
0.243 0.485 0.732
0.000 0.000 0.000
```

=====

(15)
## Cs2P4Pd3O14 (SCAN)

Data for a PBEsol-optimized structure of Cs2P4Pd3O14.

crystal system	orthorhombic
total moment	0.00	μB per cell
mass density	4.0	g/cm³
energy relative to the elements, uncorrected	-1.997	eV/atom

Cell and atoms, written as POSCAR:
```
Cs2P4Pd3O14
1.0
7.634 0.000 0.000
-3.817 7.074 0.000
0.000 0.000 14.400
Cs P Pd O
4 8 6 28
Direct
0.076 0.151 0.094
0.924 0.849 0.594
0.218 0.435 0.826
0.782 0.565 0.326
0.326 0.024 0.294
0.698 0.024 0.294
0.674 0.976 0.794
0.302 0.976 0.794
0.024 0.419 0.552
0.395 0.419 0.552
0.976 0.581 0.052
0.605 0.581 0.052
0.104 0.208 0.401
0.896 0.792 0.901
0.382 0.765 0.161
0.618 0.235 0.661
0.364 0.729 0.427
0.636 0.271 0.927
0.565 0.131 0.309
0.435 0.869 0.809
0.234 0.871 0.369
0.637 0.871 0.369
0.766 0.129 0.869
0.363 0.129 0.869
0.284 0.948 0.194
0.664 0.948 0.194
0.716 0.052 0.694
0.336 0.052 0.694
0.269 0.181 0.301
0.913 0.181 0.301
0.731 0.819 0.801
0.087 0.819 0.801
0.216 0.431 0.607
0.784 0.569 0.107
0.893 0.430 0.628
0.537 0.430 0.628
0.107 0.570 0.128
0.463 0.570 0.128
0.099 0.597 0.491
0.497 0.597 0.491
0.901 0.403 0.991
0.503 0.403 0.991
0.927 0.231 0.498
0.304 0.231 0.498
0.073 0.769 0.998
0.696 0.769 0.998
```

=====

(16)
## BaSi2Pb2 (SCAN)

Data for a PBEsol-optimized structure of BaSi2Pb2.

crystal system	tetragonal
total moment	0.00	μB per cell
mass density	7.2	g/cm³
energy relative to the elements, uncorrected	-0.098	eV/atom

Cell and atoms, written as POSCAR:
```
BaSi2Pb2
1.0
-0.073 -4.675 1.095
4.469 -0.467 -1.695
0.013 3.822 5.787
Pb Si Ba
2 2 1
Direct
0.250 0.750 0.500
0.750 0.250 0.500
0.404 0.404 0.808
0.596 0.596 0.192
0.000 0.000 0.000
```

=====

(17)
## Zr2MoBr (SCAN)

Data for a PBEsol-optimized structure of Zr2MoBr.

crystal system	orthorhombic
total moment	0.00	μB per cell
distance to the lowest polymorph of the same formula	0.00	eV per formula unit
mass density	7.5	g/cm³
energy relative to the elements, uncorrected	-0.239	eV/atom

Cell and atoms, written as POSCAR:
```
Zr2MoBr
1.0
3.179 -0.003 0.000
-1.287 2.907 0.000
0.000 0.000 8.612
Mo Br Zr
1 1 2
Direct
0.500 0.500 0.000
0.500 0.500 0.500
0.000 0.000 0.232
0.000 0.000 0.768
```

=====

(18)
## Rb3AlN (SCAN)

Data for a PBEsol-optimized structure of Rb3AlN.

crystal system	cubic
total moment	3.30	μB per cell
mass density	1.5	g/cm³
energy relative to the elements, uncorrected	1.192	eV/atom

Cell and atoms, written as POSCAR:
```
Rb3AlN
1.0
6.847 0.000 0.000
0.000 6.847 0.000
0.000 0.000 6.847
Al Rb N
1 3 1
Direct
0.000 0.000 0.000
0.000 0.500 0.000
0.000 0.000 0.500
0.500 0.000 0.000
0.500 0.500 0.500
```

=====

(19)
## Mn5Ir4 (SCAN)

Data for a PBEsol-optimized structure of Mn5Ir4.

crystal system	tetragonal
total moment	8.57	μB per cell
formation energy	-0.316	eV/atom
mass density	15.8	g/cm³

Cell and atoms, written as POSCAR:
```
Mn5Ir4
1.0
-1.176 -0.514 3.443
3.180 -4.151 2.427
2.961 3.500 3.495
Ir Mn
4 5
Direct
0.321 0.679 0.679
0.679 0.321 0.321
0.000 0.321 0.679
0.000 0.679 0.321
0.000 0.000 0.000
0.337 0.000 0.326
0.663 0.000 0.674
0.663 0.674 0.000
0.337 0.326 0.000
```